Density functional theory data (PBE) for a relaxed Nd3DyHo8 crystal.

a b c (Å): 8.375 8.375 8.375
angles (deg): 117.16 117.16 94.99
Atoms (fractional coordinates):
1 Nd 0.000 0.000 0.000
2 Nd 0.250 0.750 0.500
3 Nd 0.750 0.250 0.500
4 Dy 0.500 0.500 0.000
5 Ho 0.128 0.128 0.749
6 Ho 0.246 0.737 0.000
7 Ho 0.263 0.263 0.509
8 Ho 0.380 0.380 0.251
9 Ho 0.620 0.872 0.000
10 Ho 0.737 0.246 0.000
11 Ho 0.754 0.754 0.491
12 Ho 0.872 0.620 0.000

Values from the calculation:
Magnetic moment ... 0.01 Bohr magnetons per cell
Calculated formation energy ... 0.629 eV/atom
E_tot ... -3.998 eV/atom
SG ... No. 121
Crystal system ... tetragonal



Density functional theory data (PBE) for a relaxed LiLuScCo crystal.

a b c (Å): 4.648 4.648 4.648
angles (deg): 60.00 60.00 60.00
Atoms (fractional coordinates):
1 Li 0.000 0.000 0.000
2 Lu 0.750 0.750 0.750
3 Sc 0.250 0.250 0.250
4 Co 0.500 0.500 0.500

Values from the calculation:
Magnetic moment ... 0.00 Bohr magnetons per cell
Calculated formation energy ... -0.139 eV/atom
E_tot ... -5.107 eV/atom
SG ... No. 216
Crystal system ... cubic



Density functional theory data (PBE) for a relaxed Be2InAs crystal.

a b c (Å): 3.446 3.511 5.859
angles (deg): 90.00 105.77 90.00
Atoms (fractional coordinates):
1 Be 0.000 0.000 0.000
2 Be 0.141 0.500 0.253
3 In 0.068 0.000 0.565
4 As 0.519 0.500 0.003

Values from the calculation:
Magnetic moment ... 0.00 Bohr magnetons per cell
Calculated formation energy ... 0.275 eV/atom
Energy above the most stable polymorph in this dataset ... 0.13 eV per formula unit
E_tot ... -3.435 eV/atom
SG ... No. 6
Crystal system ... monoclinic



Density functional theory data (PBE) for a relaxed HoPuCuO6 crystal.

a b c (Å): 5.606 5.606 4.415
angles (deg): 90.00 90.00 120.00
Atoms (fractional coordinates):
1 Ho 0.000 0.000 0.000
2 Pu 0.333 0.667 0.000
3 Cu 0.667 0.333 0.500
4 O 0.023 0.363 0.241
5 O 0.023 0.660 0.759
6 O 0.340 0.363 0.759
7 O 0.340 0.977 0.241
8 O 0.637 0.660 0.241
9 O 0.637 0.977 0.759

Values from the calculation:
Magnetic moment ... 0.03 Bohr magnetons per cell
Raw formation energy ... -2.051 eV per atom
E_tot ... -7.912 eV/atom
SG ... No. 149
Crystal system ... trigonal



Density functional theory data (PBE) for a relaxed DyHo2Th crystal.

a b c (Å): 5.014 5.014 4.992
angles (deg): 90.00 90.00 90.00
Atoms (fractional coordinates):
1 Dy 0.000 0.000 0.000
2 Ho 0.000 0.500 0.500
3 Ho 0.500 0.000 0.500
4 Th 0.500 0.500 0.000

Values from the calculation:
Magnetic moment ... 0.00 Bohr magnetons per cell
Calculated formation energy ... 0.039 eV/atom
Energy above the most stable polymorph in this dataset ... 0.13 eV per formula unit
E_tot ... -5.256 eV/atom
SG ... No. 123
Crystal system ... tetragonal



Density functional theory data (PBE) for a relaxed ScVP3 crystal.

a b c (Å): 4.529 4.529 4.529
angles (deg): 90.00 90.00 90.00
Atoms (fractional coordinates):
1 Sc 0.000 0.000 0.000
2 V 0.500 0.500 0.500
3 P 0.000 0.500 0.500
4 P 0.500 0.000 0.500
5 P 0.500 0.500 0.000

Values from the calculation:
Magnetic moment ... 0.00 Bohr magnetons per cell
Calculated formation energy ... -0.103 eV/atom
Energy above the most stable polymorph in this dataset ... 0.00 eV per formula unit
E_tot ... -6.439 eV/atom
SG ... No. 221
Crystal system ... cubic



Density functional theory data (PBE) for a relaxed ErCuSi2 crystal.

a b c (Å): 6.673 3.946 10.288
angles (deg): 90.00 90.00 90.00
Atoms (fractional coordinates):
1 Er 0.149 0.250 0.146
2 Er 0.351 0.750 0.646
3 Er 0.649 0.250 0.354
4 Er 0.851 0.750 0.854
5 Cu 0.161 0.250 0.434
6 Cu 0.339 0.750 0.934
7 Cu 0.661 0.250 0.066
8 Cu 0.839 0.750 0.566
9 Si 0.026 0.250 0.648
10 Si 0.168 0.250 0.858
11 Si 0.332 0.750 0.358
12 Si 0.474 0.750 0.148
13 Si 0.526 0.250 0.852
14 Si 0.668 0.250 0.642
15 Si 0.832 0.750 0.142
16 Si 0.974 0.750 0.352

Values from the calculation:
Magnetic moment ... 0.00 Bohr magnetons per cell
Raw formation energy ... -0.544 eV per atom
E_tot ... -5.420 eV/atom
SG ... No. 62
Crystal system ... orthorhombic



Density functional theory data (PBE) for a relaxed BeCd2As crystal.

a b c (Å): 5.564 5.564 5.254
angles (deg): 110.82 110.82 29.56
Atoms (fractional coordinates):
1 Be 0.000 0.000 0.000
2 Cd 0.283 0.283 0.776
3 Cd 0.717 0.717 0.224
4 As 0.500 0.500 0.500

Values from the calculation:
Magnetic moment ... 0.00 Bohr magnetons per cell
Calculated formation energy ... 0.378 eV/atom
Energy above the most stable polymorph in this dataset ... 0.94 eV per formula unit
E_tot ... -2.173 eV/atom
SG ... No. 12
Crystal system ... monoclinic



Density functional theory data (PBE) for a relaxed YSc2Rh2 crystal.

a b c (Å): 7.805 7.805 3.277
angles (deg): 90.00 90.00 90.00
Atoms (fractional coordinates):
1 Y 0.000 0.000 0.000
2 Y 0.500 0.500 0.000
3 Sc 0.143 0.357 0.500
4 Sc 0.357 0.857 0.500
5 Sc 0.643 0.143 0.500
6 Sc 0.857 0.643 0.500
7 Rh 0.151 0.651 0.000
8 Rh 0.349 0.151 0.000
9 Rh 0.651 0.849 0.000
10 Rh 0.849 0.349 0.000

Values from the calculation:
Magnetic moment ... 0.00 Bohr magnetons per cell
Calculated formation energy ... -0.721 eV/atom
Energy above the most stable polymorph in this dataset ... 0.00 eV per formula unit
E_tot ... -7.487 eV/atom
SG ... No. 127
Crystal system ... tetragonal



Density functional theory data (PBE) for a relaxed Nd3Sm4Ir4 crystal.

a b c (Å): 9.489 9.489 9.489
angles (deg): 155.85 124.74 61.16
Atoms (fractional coordinates):
1 Nd 0.000 0.000 0.000
2 Nd 0.400 0.900 0.500
3 Nd 0.600 0.100 0.500
4 Sm 0.022 0.333 0.690
5 Sm 0.357 0.667 0.690
6 Sm 0.643 0.333 0.310
7 Sm 0.978 0.667 0.310
8 Ir 0.250 0.250 0.000
9 Ir 0.281 0.500 0.781
10 Ir 0.719 0.500 0.219
11 Ir 0.750 0.750 0.000

Values from the calculation:
Magnetic moment ... 0.00 Bohr magnetons per cell
Calculated formation energy ... -0.524 eV/atom
E_tot ... -6.763 eV/atom
SG ... No. 71
Crystal system ... orthorhombic



Density functional theory data (PBE) for a relaxed Nd4YTm2Sc crystal.

a b c (Å): 5.107 5.107 9.821
angles (deg): 90.00 90.00 90.00
Atoms (fractional coordinates):
1 Nd 0.000 0.500 0.244
2 Nd 0.000 0.500 0.756
3 Nd 0.500 0.000 0.244
4 Nd 0.500 0.000 0.756
5 Y 0.000 0.000 0.500
6 Tm 0.000 0.000 0.000
7 Tm 0.500 0.500 0.500
8 Sc 0.500 0.500 0.000

Values from the calculation:
Magnetic moment ... 0.00 Bohr magnetons per cell
Calculated formation energy ... 0.029 eV/atom
E_tot ... -5.072 eV/atom
SG ... No. 123
Crystal system ... tetragonal



Density functional theory data (PBE) for a relaxed RbPt3O crystal.

a b c (Å): 5.158 5.158 5.158
angles (deg): 90.00 90.00 90.00
Atoms (fractional coordinates):
1 Rb 0.000 0.000 0.000
2 Pt 0.000 0.000 0.500
3 Pt 0.000 0.500 0.000
4 Pt 0.500 0.000 0.000
5 O 0.500 0.500 0.500

Values from the calculation:
Magnetic moment ... 0.05 Bohr magnetons per cell
Raw formation energy ... 2.890 eV per atom
Energy above the most stable polymorph in this dataset ... 11.14 eV per formula unit
E_tot ... -1.920 eV/atom
SG ... No. 221
Crystal system ... cubic



Density functional theory data (PBE) for a relaxed TaH2Rh2 crystal.

a b c (Å): 5.010 5.010 5.010
angles (deg): 139.90 139.90 58.01
Atoms (fractional coordinates):
1 Ta 0.000 0.000 0.000
2 H 0.250 0.750 0.500
3 H 0.750 0.250 0.500
4 Rh 0.344 0.344 0.000
5 Rh 0.656 0.656 0.000

Values from the calculation:
Magnetic moment ... 0.00 Bohr magnetons per cell
Energy above the most stable polymorph in this dataset ... 0.00 eV per formula unit
E_tot ... -6.855 eV/atom
SG ... No. 139
Crystal system ... tetragonal



Density functional theory data (PBE) for a relaxed Zr2PSe crystal.

a b c (Å): 4.764 4.764 4.764
angles (deg): 60.00 60.00 60.00
Atoms (fractional coordinates):
1 Zr 0.000 0.000 0.000
2 Zr 0.250 0.250 0.250
3 P 0.750 0.750 0.750
4 Se 0.500 0.500 0.500

Values from the calculation:
Magnetic moment ... 1.47 Bohr magnetons per cell
Raw formation energy ... -0.062 eV per atom
Energy above the most stable polymorph in this dataset ... 5.10 eV per formula unit
E_tot ... -6.560 eV/atom
SG ... No. 216
Crystal system ... cubic



Density functional theory data (PBE) for a relaxed CrRuRh2 crystal.

a b c (Å): 9.164 9.164 9.164
angles (deg): 156.99 156.99 32.77
Atoms (fractional coordinates):
1 Cr 0.000 0.000 0.000
2 Cr 0.750 0.250 0.500
3 Ru 0.250 0.750 0.500
4 Ru 0.500 0.500 0.000
5 Rh 0.121 0.625 0.996
6 Rh 0.375 0.371 0.496
7 Rh 0.629 0.125 0.004
8 Rh 0.875 0.879 0.504

Values from the calculation:
Magnetic moment ... 0.00 Bohr magnetons per cell
Calculated formation energy ... 0.467 eV/atom
E_tot ... -7.934 eV/atom
SG ... No. 122
Crystal system ... tetragonal



Density functional theory data (PBE) for a relaxed RbCaCl3 crystal.

a b c (Å): 7.593 7.593 7.593
angles (deg): 60.57 60.57 60.57
Atoms (fractional coordinates):
1 Rb 0.250 0.250 0.250
2 Rb 0.750 0.750 0.750
3 Ca 0.000 0.000 0.000
4 Ca 0.500 0.500 0.500
5 Cl 0.188 0.750 0.312
6 Cl 0.250 0.688 0.812
7 Cl 0.312 0.188 0.750
8 Cl 0.688 0.812 0.250
9 Cl 0.750 0.312 0.188
10 Cl 0.812 0.250 0.688

Values from the calculation:
Magnetic moment ... 0.00 Bohr magnetons per cell
Raw formation energy ... -2.250 eV per atom
E_tot ... -3.952 eV/atom
SG ... No. 167
Crystal system ... trigonal



Density functional theory data (PBE) for a relaxed KRb2Os3O12 crystal.

a b c (Å): 7.412 7.412 7.412
angles (deg): 59.45 59.45 59.45
Atoms (fractional coordinates):
1 K 0.000 0.000 0.000
2 Rb 0.392 0.392 0.392
3 Rb 0.608 0.608 0.608
4 Os 0.000 0.000 0.500
5 Os 0.000 0.500 0.000
6 Os 0.500 0.000 0.000
7 O 0.109 0.726 0.726
8 O 0.130 0.130 0.525
9 O 0.130 0.525 0.130
10 O 0.274 0.274 0.891
11 O 0.274 0.891 0.274
12 O 0.475 0.870 0.870
13 O 0.525 0.130 0.130
14 O 0.726 0.109 0.726
15 O 0.726 0.726 0.109
16 O 0.870 0.475 0.870
17 O 0.870 0.870 0.475
18 O 0.891 0.274 0.274

Values from the calculation:
Magnetic moment ... 0.00 Bohr magnetons per cell
Raw formation energy ... -1.226 eV per atom
E_tot ... -6.572 eV/atom
SG ... No. 166
Crystal system ... trigonal



Density functional theory data (PBE) for a relaxed PrNd3Ho3 crystal.

a b c (Å): 8.958 8.958 8.958
angles (deg): 58.50 58.50 58.50
Atoms (fractional coordinates):
1 Pr 0.155 0.155 0.155
2 Pr 0.845 0.845 0.845
3 Nd 0.066 0.220 0.571
4 Nd 0.220 0.571 0.066
5 Nd 0.429 0.934 0.780
6 Nd 0.571 0.066 0.220
7 Nd 0.780 0.429 0.934
8 Nd 0.934 0.780 0.429
9 Ho 0.216 0.437 0.672
10 Ho 0.328 0.784 0.563
11 Ho 0.437 0.672 0.216
12 Ho 0.563 0.328 0.784
13 Ho 0.672 0.216 0.437
14 Ho 0.784 0.563 0.328

Values from the calculation:
Magnetic moment ... 0.00 Bohr magnetons per cell
Calculated formation energy ... 0.194 eV/atom
Energy above the most stable polymorph in this dataset ... 1.18 eV per formula unit
E_tot ... -4.494 eV/atom
SG ... No. 148
Crystal system ... trigonal



Density functional theory data (PBE) for a relaxed LaTb5Ho3 crystal.

a b c (Å): 10.054 10.054 11.152
angles (deg): 110.99 110.99 35.17
Atoms (fractional coordinates):
1 La 0.147 0.853 0.750
2 La 0.853 0.147 0.250
3 Tb 0.091 0.578 0.302
4 Tb 0.104 0.560 0.971
5 Tb 0.374 0.626 0.250
6 Tb 0.422 0.909 0.198
7 Tb 0.440 0.896 0.529
8 Tb 0.560 0.104 0.471
9 Tb 0.578 0.091 0.802
10 Tb 0.626 0.374 0.750
11 Tb 0.896 0.440 0.029
12 Tb 0.909 0.422 0.698
13 Ho 0.000 0.000 0.000
14 Ho 0.000 0.000 0.500
15 Ho 0.045 0.603 0.634
16 Ho 0.397 0.955 0.866
17 Ho 0.603 0.045 0.134
18 Ho 0.955 0.397 0.366

Values from the calculation:
Magnetic moment ... 0.00 Bohr magnetons per cell
Calculated formation energy ... 0.327 eV/atom
Energy above the most stable polymorph in this dataset ... 0.00 eV per formula unit
E_tot ... -4.319 eV/atom
SG ... No. 15
Crystal system ... monoclinic



Density functional theory data (PBE) for a relaxed SrPr2PtO6 crystal.

a b c (Å): 5.747 6.158 10.144
angles (deg): 90.00 124.46 90.00
Atoms (fractional coordinates):
1 Sr 0.000 0.000 0.000
2 Sr 0.000 0.500 0.500
3 Pr 0.221 0.057 0.740
4 Pr 0.221 0.443 0.240
5 Pr 0.779 0.557 0.760
6 Pr 0.779 0.943 0.260
7 Pt 0.500 0.000 0.500
8 Pt 0.500 0.500 0.000
9 O 0.155 0.171 0.452
10 O 0.155 0.329 0.952
11 O 0.250 0.723 0.415
12 O 0.250 0.777 0.915
13 O 0.410 0.075 0.277
14 O 0.410 0.425 0.777
15 O 0.590 0.575 0.223
16 O 0.590 0.925 0.723
17 O 0.750 0.223 0.085
18 O 0.750 0.277 0.585
19 O 0.845 0.671 0.048
20 O 0.845 0.829 0.548

Values from the calculation:
Magnetic moment ... 0.00 Bohr magnetons per cell
Raw formation energy ... -2.366 eV per atom
E_tot ... -7.069 eV/atom
SG ... No. 14
Crystal system ... monoclinic